[1]
Material: TcSbPCl2
Method: DFT, PBE
State: relaxed

Lattice parameters (Å, degrees): 4.7743 4.7743 4.7889 90.00 90.00 90.00
Closest atoms and distances in Å follow each position.
Sites, in units of the cell vectors:
Cl (0.5000, 0.0000, 0.0000)  2 Tc 2.39
Cl (0.0000, 0.5000, 0.0000)  2 Tc 2.39
Tc (0.0000, 0.0000, 0.0000)  4 Cl 2.39, 2 P 2.39
P (0.0000, 0.0000, 0.5000)  2 Tc 2.39
Sb (0.5000, 0.5000, 0.5000)  4 P 3.38, 8 Cl 3.38

Its total energy is -4.383 eV per atom. As for the space group: P4/mmm. Its formation energy (no corrections) is 335 meV per atom. The energy above the most stable polymorph in this dataset is 0.000 eV per atom. For the mass density, the calculation gives 4.89 g/cm³. The value obtained for the total magnetization is 1.6 μB per cell.

=====

[2]
Material: Pa2FeRh
Method: DFT, PBE
State: relaxed

Lattice parameters (Å, degrees): 3.0743 3.0743 9.5944 80.78 80.78 60.00
Closest atoms and distances in Å follow each position.
Sites, in units of the cell vectors:
Pa (0.9094, 0.9094, 0.2719)  1 Rh 2.56, 3 Fe 2.79
Fe (0.5000, 0.5000, 0.5000)  6 Pa 2.79, 6 Fe 3.07
Pa (0.0906, 0.0906, 0.7281)  1 Rh 2.56, 3 Fe 2.79
Rh (0.0000, 0.0000, 0.0000)  2 Pa 2.56

Its total energy is -8.576 eV per atom. As for the space group: R-3m. The energy above the most stable polymorph in this dataset is 0.359 eV per atom. For the mass density, the calculation gives 13.36 g/cm³. The value obtained for the total magnetization is 0.5 μB per cell.

=====

[3]
Material: AlH3Pd
Method: DFT, PBE
State: relaxed

Lattice parameters (Å, degrees): 3.6169 3.6169 3.6169 90.00 90.00 90.00
Closest atoms and distances in Å follow each position.
Sites, in units of the cell vectors:
Al (0.5000, 0.5000, 0.5000)  12 H 2.56
H (0.0000, 0.5000, 0.0000)  2 Pd 1.81
Pd (0.0000, 0.0000, 0.0000)  6 H 1.81
H (0.0000, 0.0000, 0.5000)  2 Pd 1.81
H (0.5000, 0.0000, 0.0000)  2 Pd 1.81

Its total energy is -3.560 eV per atom. As for the space group: Pm-3m. For the mass density, the calculation gives 4.79 g/cm³. The value obtained for the total magnetization is 0.0 μB per cell.

=====

Number 1: calculated volume 21.83 Å³ per atom. Number 2: calculated volume 19.29 Å³ per atom. Number 3: calculated volume 9.46 Å³ per atom.